[1]
This record from the Alexandria database describes a relaxed Fe2AsCl crystal. The functional is PBE-GGA.

```
Fe2AsCl
1.0
0.0000 3.1593 3.1593
3.1593 0.0000 3.1593
3.1593 3.1593 0.0000
Fe As Cl
2 1 1
direct
0.0000 0.0000 0.0000
0.2500 0.2500 0.2500
0.5000 0.5000 0.5000
0.7500 0.7500 0.7500
```

Distance to the lowest polymorph of the same formula, meV/atom: 798.3
Uncorrected formation energy, eV/atom: 0.7325
Total magnetization, μB per cell: 5.76
V, A^3/atom: 15.8

=====

[2]
This record from the Alexandria database describes a relaxed FeAsCl2 crystal. The functional is PBE-GGA.

```
FeAsCl2
1.0
3.1112 0.0000 0.0000
0.0000 4.2653 0.0000
0.0000 0.0000 5.7998
Fe As Cl
1 1 2
direct
0.0000 0.0000 0.0000
0.5000 0.0000 0.5000
0.0000 0.5000 0.5000
0.5000 0.5000 0.0000
```

Distance to the lowest polymorph of the same formula, meV/atom: 527.4
Uncorrected formation energy, eV/atom: 0.2943
Total magnetization, μB per cell: 3.76
V, A^3/atom: 19.2

=====

[3]
This record from the Alexandria database describes a relaxed Fe2AsCl crystal. The functional is PBE-GGA.

```
Fe2AsCl
1.0
-1.4397 3.1021 3.8561
1.4397 -3.1021 3.8561
1.4397 3.1021 -3.8561
Fe As Cl
2 1 1
direct
0.2499 0.2499 0.0000
0.7501 0.7501 0.0000
0.5000 0.0000 0.5000
0.0000 0.5000 0.5000
```

Distance to the lowest polymorph of the same formula, meV/atom: 484.8
Uncorrected formation energy, eV/atom: 0.4190
Total magnetization, μB per cell: 5.41
V, A^3/atom: 17.2

=====

[4]
This record from the Alexandria database describes a relaxed Fe2AsCl crystal. The functional is PBE-GGA.

```
Fe2AsCl
1.0
-1.5521 1.7952 6.6964
1.5521 -1.7952 6.6964
1.5521 1.7952 -6.6964
Fe As Cl
2 1 1
direct
0.0000 0.0000 0.0000
0.8565 0.3565 0.5000
0.3632 0.8632 0.5000
0.5968 0.5968 0.0000
```

Distance to the lowest polymorph of the same formula, meV/atom: 126.7
Uncorrected formation energy, eV/atom: 0.0609
Total magnetization, μB per cell: 5.13
V, A^3/atom: 18.7

=====

Repeat the first record exactly.
This record from the Alexandria database describes a relaxed Fe2AsCl crystal. The functional is PBE-GGA.

```
Fe2AsCl
1.0
0.0000 3.1593 3.1593
3.1593 0.0000 3.1593
3.1593 3.1593 0.0000
Fe As Cl
2 1 1
direct
0.0000 0.0000 0.0000
0.2500 0.2500 0.2500
0.5000 0.5000 0.5000
0.7500 0.7500 0.7500
```

Distance to the lowest polymorph of the same formula, meV/atom: 798.3
Uncorrected formation energy, eV/atom: 0.7325
Total magnetization, μB per cell: 5.76
V, A^3/atom: 15.8

=====

Question: Which of these has the lowest uncorrected formation energy?
Answer: number 4

=====

Question: Which value of distance to the lowest polymorph of the same formula does entry 4 give?
Answer: 126.7 meV/atom